1.
A relaxed Ce3Sm2Te8 crystal. Source: Alexandria, functional PBE.

Summary:
The raw formation energy is -1.23 eV per atom. As for the density of states at the Fermi level: 12.883 states/eV/cell. The total magnetization comes out at 2.02 μB/f.u.

a = 5.442 Å, b = 10.725 Å, c = 9.341 Å
α = 125.02°, β = 90.00°, γ = 90.00°
Fractional coordinates of all 13 atoms:
1 Ce 0.500 0.000 0.000
2 Ce 0.000 0.269 0.000
3 Ce 0.000 0.731 0.000
4 Sm 0.500 0.267 0.533
5 Sm 0.500 0.733 0.467
6 Te 0.000 0.630 0.261
7 Te 0.000 0.370 0.739
8 Te 0.000 0.116 0.232
9 Te 0.000 0.884 0.768
10 Te 0.500 0.637 0.751
11 Te 0.500 0.114 0.751
12 Te 0.500 0.886 0.249
13 Te 0.500 0.363 0.249


2.
A relaxed MnSi3Sn crystal. Source: Alexandria, functional PBE.

Summary:
The raw formation energy is 0.38 eV per atom. As for the density of states at the Fermi level: 3.658 states/eV/cell. The total magnetization comes out at 1.91 μB/f.u.

a = 4.526 Å, b = 4.526 Å, c = 4.526 Å
α = 90.00°, β = 90.00°, γ = 90.00°
Fractional coordinates of all 5 atoms:
1 Si 0.000 0.500 0.000
2 Si 0.000 0.000 0.500
3 Si 0.500 0.000 0.000
4 Mn 0.000 0.000 0.000
5 Sn 0.500 0.500 0.500


3.
A relaxed Ca2ZrI crystal. Source: Alexandria, functional PBE.

Summary:
Its energy above the most stable polymorph in this dataset is 30.6 meV per atom. The raw formation energy is 0.30 eV per atom. As for the density of states at the Fermi level: 3.461 states/eV/cell. The total magnetization comes out at 3.81 μB/f.u.

a = 5.718 Å, b = 5.718 Å, c = 5.718 Å
α = 60.00°, β = 60.00°, γ = 60.00°
Fractional coordinates of all 4 atoms:
1 I 0.500 0.500 0.500
2 Ca 0.250 0.250 0.250
3 Ca 0.750 0.750 0.750
4 Zr 0.000 0.000 0.000


4.
A relaxed MgTe4 crystal. Source: Alexandria, functional PBE.

Summary:
Its energy above the most stable polymorph in this dataset is 63.9 meV per atom. The raw formation energy is -0.04 eV per atom. As for the density of states at the Fermi level: 3.425 states/eV/cell. The total magnetization comes out at 0.00 μB/f.u.

a = 10.410 Å, b = 10.410 Å, c = 10.410 Å
α = 156.93°, β = 156.93°, γ = 32.86°
Fractional coordinates of all 5 atoms:
1 Mg 0.000 0.000 0.000
2 Te 0.750 0.250 0.500
3 Te 0.250 0.750 0.500
4 Te 0.571 0.571 0.000
5 Te 0.429 0.429 0.000


5.
A relaxed ScC2Br2 crystal. Source: Alexandria, functional PBE.

Summary:
Its energy above the most stable polymorph in this dataset is 0.0 meV per atom. The raw formation energy is 1.27 eV per atom. As for the density of states at the Fermi level: 2.799 states/eV/cell. The total magnetization comes out at 0.00 μB/f.u.

a = 3.057 Å, b = 3.057 Å, c = 11.009 Å
α = 82.02°, β = 82.02°, γ = 90.00°
Fractional coordinates of all 5 atoms:
1 Sc 0.000 0.000 0.000
2 C 0.750 0.250 0.500
3 C 0.250 0.750 0.500
4 Br 0.421 0.421 0.158
5 Br 0.579 0.579 0.842


6.
A relaxed Tm4Ag2HgPt crystal. Source: Alexandria, functional PBE.

Summary:
As for the density of states at the Fermi level: 3.578 states/eV/cell. The energy relative to the elements is -0.6349 eV per atom. The total magnetization comes out at 0.00 μB/f.u.

a = 5.049 Å, b = 5.049 Å, c = 8.723 Å
α = 73.18°, β = 73.18°, γ = 60.00°
Fractional coordinates of all 8 atoms:
1 Tm 0.381 0.381 0.856
2 Tm 0.870 0.870 0.389
3 Tm 0.130 0.130 0.611
4 Tm 0.619 0.619 0.144
5 Ag 0.744 0.744 0.767
6 Ag 0.256 0.256 0.233
7 Hg 0.000 0.000 0.000
8 Pt 0.500 0.500 0.500


7.
A relaxed Sm5GeRh2 crystal. Source: Alexandria, functional PBE.

Summary:
As for the density of states at the Fermi level: 17.079 states/eV/cell. The energy relative to the elements is -0.6408 eV per atom. The total magnetization comes out at 0.00 μB/f.u.

a = 7.821 Å, b = 7.821 Å, c = 8.662 Å
α = 116.84°, β = 116.84°, γ = 90.00°
Fractional coordinates of all 16 atoms:
1 Sm 0.521 0.697 0.718
2 Sm 0.803 0.979 0.282
3 Sm 0.000 0.000 0.000
4 Sm 0.500 0.500 0.000
5 Sm 0.197 0.021 0.718
6 Sm 0.697 0.197 0.718
7 Sm 0.021 0.521 0.718
8 Sm 0.303 0.803 0.282
9 Sm 0.979 0.479 0.282
10 Sm 0.479 0.303 0.282
11 Ge 0.750 0.750 0.500
12 Ge 0.250 0.250 0.500
13 Rh 0.136 0.364 0.000
14 Rh 0.636 0.136 0.000
15 Rh 0.364 0.864 0.000
16 Rh 0.864 0.636 0.000


8.
A relaxed LiIn4Au5 crystal. Source: Alexandria, functional PBE.

Summary:
Its energy above the most stable polymorph in this dataset is 0.0 meV per atom. As for the density of states at the Fermi level: 3.270 states/eV/cell. The energy relative to the elements is -0.2439 eV per atom. The total magnetization comes out at 0.00 μB/f.u.

a = 5.732 Å, b = 6.739 Å, c = 6.739 Å
α = 79.58°, β = 64.83°, γ = 64.83°
Fractional coordinates of all 10 atoms:
1 Li 0.185 0.000 0.000
2 In 0.380 0.377 0.775
3 In 0.757 0.775 0.623
4 In 0.155 0.225 0.377
5 In 0.532 0.623 0.225
6 Au 0.873 0.347 0.830
7 Au 0.220 0.830 0.653
8 Au 0.703 0.170 0.347
9 Au 0.050 0.653 0.170
10 Au 0.654 0.000 0.000


9.
A relaxed La2FeAg crystal. Source: Alexandria, functional PBE.

Summary:
As for the density of states at the Fermi level: 2.521 states/eV/cell. The energy relative to the elements is 0.2816 eV per atom. The total magnetization comes out at 0.08 μB/f.u.

a = 6.655 Å, b = 6.655 Å, c = 6.655 Å
α = 38.29°, β = 38.29°, γ = 38.29°
Fractional coordinates of all 4 atoms:
1 Ag 0.518 0.518 0.518
2 Fe 0.288 0.288 0.288
3 La 0.952 0.952 0.952
4 La 0.742 0.742 0.742


10.
A relaxed Pm6InAg2 crystal. Source: Alexandria, functional PBE.

Summary:
As for the density of states at the Fermi level: 21.208 states/eV/cell. The energy relative to the elements is -0.1962 eV per atom. The total magnetization comes out at 0.00 μB/f.u.

a = 8.904 Å, b = 8.904 Å, c = 8.904 Å
α = 108.13°, β = 110.30°, γ = 109.99°
Fractional coordinates of all 18 atoms:
1 Pm 0.548 0.730 0.818
2 Pm 0.452 0.270 0.182
3 Pm 0.088 0.270 0.818
4 Pm 0.912 0.730 0.182
5 Pm 0.797 0.755 0.552
6 Pm 0.203 0.245 0.448
7 Pm 0.203 0.755 0.957
8 Pm 0.797 0.245 0.043
9 Pm 0.722 0.399 0.677
10 Pm 0.278 0.601 0.323
11 Pm 0.278 0.955 0.677
12 Pm 0.722 0.045 0.323
13 In 0.000 0.500 0.500
14 In 0.000 0.000 0.000
15 Ag 0.500 0.368 0.868
16 Ag 0.500 0.632 0.132
17 Ag 0.641 0.000 0.641
18 Ag 0.359 0.000 0.359


11.
A relaxed Th8GeSe3S4 crystal. Source: Alexandria, functional PBE.

Summary:
The raw formation energy is -1.61 eV per atom. As for the density of states at the Fermi level: 10.606 states/eV/cell. The total magnetization comes out at 0.00 μB/f.u.

a = 8.280 Å, b = 8.282 Å, c = 8.278 Å
α = 119.97°, β = 120.01°, γ = 90.00°
Fractional coordinates of all 16 atoms:
1 Th 0.254 0.766 0.013
2 Th 0.254 0.766 0.507
3 Th 0.244 0.231 0.487
4 Th 0.759 0.766 0.013
5 Th 0.241 0.234 0.987
6 Th 0.756 0.769 0.513
7 Th 0.746 0.234 0.493
8 Th 0.746 0.234 0.987
9 Ge 0.000 0.500 0.000
10 Se 0.500 0.500 0.000
11 Se 0.500 0.500 0.500
12 Se 0.000 0.500 0.500
13 S 0.500 0.000 0.000
14 S 0.500 0.000 0.500
15 S 0.000 0.000 0.000
16 S 0.000 0.000 0.500


12.
A relaxed Tb2Dy crystal. Source: Alexandria, functional PBE.

Summary:
Its energy above the most stable polymorph in this dataset is 255.1 meV per atom. As for the density of states at the Fermi level: 9.926 states/eV/cell. The energy relative to the elements is 0.2658 eV per atom. The total magnetization comes out at 0.05 μB/f.u.

a = 6.550 Å, b = 6.550 Å, c = 6.550 Å
α = 60.00°, β = 60.00°, γ = 60.00°
Fractional coordinates of all 6 atoms:
1 Tb 0.125 0.625 0.625
2 Tb 0.625 0.125 0.625
3 Tb 0.625 0.625 0.625
4 Tb 0.625 0.625 0.125
5 Dy 0.000 0.000 0.000
6 Dy 0.250 0.250 0.250